Record 1
A relaxed structure of Zn6Ag4Ge, computed with PBE-GGA.

Computed properties:
Its space group is I-42m (121). Its total DFT energy (no corrections) is -1.954 eV/atom. The value obtained for the density of states at the Fermi level is 0.34 states/eV per atom.

a b c (Å): 6.6619 6.6619 6.6619
angles (deg): 115.90 115.90 97.26
With the nearest neighbours (Å) after each atom.
Element x y z (fractional)
Zn  0.0000  0.5000  0.5000  4 Ag 2.62
Zn  0.1294  0.1294  0.7348  4 Ag 2.55-2.82, 1 Zn 2.65, 1 Ge 2.66
Zn  0.3945  0.3945  0.2652  4 Ag 2.55-2.82, 1 Zn 2.65, 1 Ge 2.66
Zn  0.5000  0.0000  0.5000  4 Ag 2.62
Zn  0.6055  0.8706  0.0000  4 Ag 2.55-2.82, 1 Zn 2.65, 1 Ge 2.66
Zn  0.8706  0.6055  0.0000  4 Ag 2.55-2.82, 1 Zn 2.65, 1 Ge 2.66
Ag  0.2563  0.6356  0.0000  6 Zn 2.55-2.82, 2 Ag 2.85
Ag  0.3644  0.3644  0.6207  6 Zn 2.55-2.82, 2 Ag 2.85
Ag  0.6356  0.2563  0.0000  6 Zn 2.55-2.82, 2 Ag 2.85
Ag  0.7437  0.7437  0.3793  6 Zn 2.55-2.82, 2 Ag 2.85
Ge  0.0000  0.0000  0.0000  4 Zn 2.66

Record 2
A relaxed structure of ZnAgGe3, computed with PBE-GGA.

Computed properties:
Its space group is Pm-3m (221). Its total DFT energy (no corrections) is -2.816 eV/atom. The value obtained for the density of states at the Fermi level is 0.56 states/eV per atom. The value obtained for the energy above the most stable polymorph in this dataset is 0.128 eV/atom.

a b c (Å): 5.0170 5.0170 5.0170
angles (deg): 90.00 90.00 90.00
With the nearest neighbours (Å) after each atom.
Element x y z (fractional)
Zn  0.0000  0.0000  0.0000  12 Ge 3.55
Ag  0.5000  0.5000  0.5000  6 Ge 2.51
Ge  0.0000  0.5000  0.5000  2 Ag 2.51
Ge  0.5000  0.0000  0.5000  2 Ag 2.51
Ge  0.5000  0.5000  0.0000  2 Ag 2.51

Record 3
A relaxed structure of Zn2AgGe, computed with PBE-GGA.

Computed properties:
Its space group is P4/mmm (123). Its total DFT energy (no corrections) is -2.398 eV/atom. The value obtained for the density of states at the Fermi level is 0.49 states/eV per atom.

a b c (Å): 2.9120 2.9120 8.0444
angles (deg): 90.00 90.00 90.00
With the nearest neighbours (Å) after each atom.
Element x y z (fractional)
Zn  0.0000  0.0000  0.2422  4 Ag 2.83, 4 Zn 2.91, 4 Ge 2.92
Zn  0.0000  0.0000  0.7578  4 Ag 2.83, 4 Zn 2.91, 4 Ge 2.92
Ag  0.5000  0.5000  0.0000  8 Zn 2.83, 4 Ag 2.91
Ge  0.5000  0.5000  0.5000  4 Ge 2.91, 8 Zn 2.92

Record 4
A relaxed structure of Zn2Ag8Ge, computed with PBE-GGA.

Computed properties:
Its space group is C2/m (12). Its total DFT energy (no corrections) is -2.602 eV/atom. The value obtained for the density of states at the Fermi level is 0.28 states/eV per atom.

a b c (Å): 7.0988 7.0988 4.9337
angles (deg): 102.98 102.98 60.58
With the nearest neighbours (Å) after each atom.
Element x y z (fractional)
Zn  0.1231  0.1231  0.0132  1 Ge 2.59, 5 Ag 2.69-2.76
Zn  0.8769  0.8769  0.9868  1 Ge 2.59, 5 Ag 2.69-2.76
Ag  0.2236  0.2236  0.5742  1 Ge 2.67, 2 Zn 2.72-2.76, 4 Ag 2.83-2.89
Ag  0.2368  0.6262  0.7131  1 Ge 2.66, 1 Zn 2.74, 4 Ag 2.79-2.93
Ag  0.3505  0.3505  0.1576  1 Zn 2.69, 8 Ag 2.88-3.00
Ag  0.3738  0.7632  0.2869  1 Ge 2.66, 1 Zn 2.74, 4 Ag 2.79-2.93
Ag  0.6262  0.2368  0.7131  1 Ge 2.66, 1 Zn 2.74, 4 Ag 2.79-2.93
Ag  0.6495  0.6495  0.8424  1 Zn 2.69, 8 Ag 2.88-3.00
Ag  0.7632  0.3738  0.2869  1 Ge 2.66, 1 Zn 2.74, 4 Ag 2.79-2.93
Ag  0.7764  0.7764  0.4258  1 Ge 2.67, 2 Zn 2.72-2.76, 4 Ag 2.83-2.89
Ge  0.0000  0.0000  0.5000  2 Zn 2.59, 6 Ag 2.66-2.67

Record 5
A relaxed structure of ZnAg2Ge, computed with PBE-GGA.

Computed properties:
Its space group is Cm (8). Its total DFT energy (no corrections) is -2.809 eV/atom. The value obtained for the density of states at the Fermi level is 0.29 states/eV per atom. The value obtained for the energy above the most stable polymorph in this dataset is 0.000 eV/atom.

a b c (Å): 4.7382 4.7382 6.6176
angles (deg): 123.06 123.06 35.66
With the nearest neighbours (Å) after each atom.
Element x y z (fractional)
Zn  0.0000  0.0000  0.0000  6 Ag 2.74-2.82, 1 Ge 2.78, 2 Zn 2.90
Ag  0.3767  0.3767  0.2274  3 Zn 2.74-2.82, 3 Ge 2.83-2.90, 5 Ag 2.90-2.95
Ag  0.6239  0.6239  0.7643  3 Ge 2.78-3.01, 3 Zn 2.79-2.81, 5 Ag 2.90-2.95
Ge  0.7673  0.7673  0.4886  6 Ag 2.78-3.01, 3 Zn 2.78-3.07, 2 Ge 2.90

Record 6
A relaxed structure of Zn2AgGe2, computed with PBE-GGA.

Computed properties:
Its space group is P4/mbm (127). Its total DFT energy (no corrections) is -2.713 eV/atom. The value obtained for the density of states at the Fermi level is 0.33 states/eV per atom. The value obtained for the energy above the most stable polymorph in this dataset is 0.005 eV/atom.

a b c (Å): 6.9175 6.9175 3.8677
angles (deg): 90.00 90.00 90.00
With the nearest neighbours (Å) after each atom.
Element x y z (fractional)
Zn  0.1755  0.3245  0.0000  6 Ge 2.69-2.89
Zn  0.3245  0.8245  0.0000  6 Ge 2.69-2.89
Zn  0.6755  0.1755  0.0000  6 Ge 2.69-2.89
Zn  0.8245  0.6755  0.0000  6 Ge 2.69-2.89
Ag  0.0000  0.0000  0.5000  4 Ge 2.70
Ag  0.5000  0.5000  0.5000  4 Ge 2.70
Ge  0.1330  0.6330  0.5000  1 Ge 2.60, 6 Zn 2.69-2.89, 2 Ag 2.70
Ge  0.3670  0.1330  0.5000  1 Ge 2.60, 6 Zn 2.69-2.89, 2 Ag 2.70
Ge  0.6330  0.8670  0.5000  1 Ge 2.60, 6 Zn 2.69-2.89, 2 Ag 2.70
Ge  0.8670  0.3670  0.5000  1 Ge 2.60, 6 Zn 2.69-2.89, 2 Ag 2.70

Record 7
A relaxed structure of Zn7Ag12Ge, computed with PBE-GGA.

Computed properties:
Its space group is R-3 (148). Its total DFT energy (no corrections) is -2.303 eV/atom. The value obtained for the density of states at the Fermi level is 0.27 states/eV per atom.

a b c (Å): 7.1317 7.1317 7.1317
angles (deg): 85.25 85.25 85.25
With the nearest neighbours (Å) after each atom.
Element x y z (fractional)
Zn  0.0000  0.0000  0.0000  6 Ag 2.70
Zn  0.1468  0.3965  0.4472  3 Zn 2.56-2.69, 4 Ag 2.68-2.83, 1 Ge 2.75
Zn  0.3965  0.4472  0.1468  3 Zn 2.56-2.69, 4 Ag 2.68-2.83, 1 Ge 2.75
Zn  0.4472  0.1468  0.3965  3 Zn 2.56-2.69, 4 Ag 2.68-2.83, 1 Ge 2.75
Zn  0.5528  0.8532  0.6035  3 Zn 2.56-2.69, 4 Ag 2.68-2.83, 1 Ge 2.75
Zn  0.6035  0.5528  0.8532  3 Zn 2.56-2.69, 4 Ag 2.68-2.83, 1 Ge 2.75
Zn  0.8532  0.6035  0.5528  3 Zn 2.56-2.69, 4 Ag 2.68-2.83, 1 Ge 2.75
Ag  0.0560  0.6336  0.1242  3 Zn 2.68-2.83, 5 Ag 2.84-2.95
Ag  0.1242  0.0560  0.6336  3 Zn 2.68-2.83, 5 Ag 2.84-2.95
Ag  0.1713  0.6591  0.7172  2 Zn 2.71-2.82, 6 Ag 2.84-2.95, 1 Ge 2.90
Ag  0.2828  0.8287  0.3409  2 Zn 2.71-2.82, 6 Ag 2.84-2.95, 1 Ge 2.90
Ag  0.3409  0.2828  0.8287  2 Zn 2.71-2.82, 6 Ag 2.84-2.95, 1 Ge 2.90
Ag  0.3664  0.8758  0.9440  3 Zn 2.68-2.83, 5 Ag 2.84-2.95
Ag  0.6336  0.1242  0.0560  3 Zn 2.68-2.83, 5 Ag 2.84-2.95
Ag  0.6591  0.7172  0.1713  2 Zn 2.71-2.82, 6 Ag 2.84-2.95, 1 Ge 2.90
Ag  0.7172  0.1713  0.6591  2 Zn 2.71-2.82, 6 Ag 2.84-2.95, 1 Ge 2.90
Ag  0.8287  0.3409  0.2828  2 Zn 2.71-2.82, 6 Ag 2.84-2.95, 1 Ge 2.90
Ag  0.8758  0.9440  0.3664  3 Zn 2.68-2.83, 5 Ag 2.84-2.95
Ag  0.9440  0.3664  0.8758  3 Zn 2.68-2.83, 5 Ag 2.84-2.95
Ge  0.5000  0.5000  0.5000  6 Zn 2.75, 6 Ag 2.90

Record 8
A relaxed structure of ZnAg2Ge, computed with PBE-GGA.

Computed properties:
Its space group is P4/mmm (123). Its total DFT energy (no corrections) is -2.782 eV/atom. The value obtained for the density of states at the Fermi level is 0.45 states/eV per atom. The value obtained for the energy above the most stable polymorph in this dataset is 0.027 eV/atom.

a b c (Å): 3.1594 3.1594 7.0535
angles (deg): 90.00 90.00 90.00
With the nearest neighbours (Å) after each atom.
Element x y z (fractional)
Zn  0.0000  0.0000  0.0000  8 Ag 2.76
Ag  0.5000  0.5000  0.2306  4 Zn 2.76, 4 Ge 2.93
Ag  0.5000  0.5000  0.7694  4 Zn 2.76, 4 Ge 2.93
Ge  0.0000  0.0000  0.5000  8 Ag 2.93, 4 Ge 3.16

Record 9
A relaxed structure of Zn8Ag4Ge, computed with PBE-GGA.

Computed properties:
Its space group is Pmm2 (25). Its total DFT energy (no corrections) is -1.968 eV/atom. The value obtained for the density of states at the Fermi level is 0.28 states/eV per atom.

a b c (Å): 3.8977 4.0089 14.0894
angles (deg): 90.00 90.00 90.00
With the nearest neighbours (Å) after each atom.
Element x y z (fractional)
Zn  0.0000  0.0000  0.0000  4 Ag 2.76-2.80, 8 Zn 2.78-2.85
Zn  0.0000  0.0000  0.2781  1 Ge 2.48, 2 Zn 2.75, 2 Ag 2.77
Zn  0.0000  0.5000  0.1442  6 Zn 2.75-2.85, 6 Ag 2.80-2.85
Zn  0.0000  0.5000  0.5678  2 Ge 2.57, 6 Zn 2.78-2.80, 2 Ag 2.86
Zn  0.5000  0.0000  0.5700  2 Ge 2.54, 6 Zn 2.80, 2 Ag 2.80
Zn  0.5000  0.0000  0.8589  6 Zn 2.78-2.92, 6 Ag 2.80-2.84
Zn  0.5000  0.5000  0.0010  4 Ag 2.77-2.79, 8 Zn 2.80-2.83
Zn  0.5000  0.5000  0.7085  6 Zn 2.78-2.92, 6 Ag 2.80-2.90
Ag  0.0000  0.0000  0.7124  10 Zn 2.80-2.86, 2 Ag 2.90
Ag  0.0000  0.5000  0.8612  10 Zn 2.77-2.90, 2 Ag 2.90
Ag  0.5000  0.0000  0.1385  10 Zn 2.76-2.80, 2 Ag 2.95
Ag  0.5000  0.5000  0.2921  6 Zn 2.80-2.85, 2 Ag 2.95
Ge  0.0000  0.0000  0.4541  5 Zn 2.48-2.57

Record 10
A relaxed structure of ZnAg2Ge, computed with PBE-GGA.

Computed properties:
Its space group is P4/mmm (123). Its total DFT energy (no corrections) is -2.803 eV/atom. The value obtained for the density of states at the Fermi level is 0.36 states/eV per atom. The value obtained for the energy above the most stable polymorph in this dataset is 0.006 eV/atom.

a b c (Å): 4.1143 4.1143 4.0941
angles (deg): 90.00 90.00 90.00
With the nearest neighbours (Å) after each atom.
Element x y z (fractional)
Zn  0.0000  0.0000  0.0000  8 Ag 2.90, 4 Ge 2.91
Ag  0.0000  0.5000  0.5000  4 Ge 2.90, 4 Zn 2.90, 4 Ag 2.91
Ag  0.5000  0.0000  0.5000  4 Ge 2.90, 4 Zn 2.90, 4 Ag 2.91
Ge  0.5000  0.5000  0.0000  8 Ag 2.90, 4 Zn 2.91

| no. | calculated formation energy (eV/atom) |
| --- | --- |
| 1 | 0.20 |
| 2 | 0.78 |
| 3 | 0.11 |
| 4 | 0.12 |
| 5 | 0.09 |
| 6 | 0.21 |
| 7 | 0.08 |
| 8 | 0.12 |
| 9 | 0.05 |
| 10 | 0.10 |